1.
ZnNi2W PBE relaxed; energy relative to the elements = 0.07 eV per atom; total magnetization = 0.00 μB/f.u.; volume = 13.0 Å³/atom
1.0
2.6412 0.0000 0.0000
0.0000 3.6497 0.0000
0.0000 0.0000 5.3773
Zn Ni W
1 2 1
Direct
0.0000 0.0000 0.0000 Zn
0.0000 0.0000 0.4681 Ni
0.5000 0.5000 0.2153 Ni
0.5000 0.5000 0.6930 W

2.
ZrNi2W PBE relaxed; energy relative to the elements = -0.01 eV per atom; total magnetization = 0.00 μB/f.u.; energy above the lowest structure with this stoichiometry = 0.23 eV per formula unit; volume = 14.8 Å³/atom
1.0
3.9323 0.0000 0.0000
0.0000 4.0037 0.0000
0.0000 0.0000 7.5021
Zr Ni W
2 4 2
Direct
0.0000 0.0000 0.0000 Zr
0.5000 0.5000 0.5000 Zr
0.0000 0.5000 0.2486 Ni
0.0000 0.5000 0.7514 Ni
0.5000 0.0000 0.2514 Ni
0.5000 0.0000 0.7486 Ni
0.0000 0.0000 0.5000 W
0.5000 0.5000 0.0000 W

3.
ZrNi2W PBE relaxed; energy relative to the elements = 0.33 eV per atom; total magnetization = 0.00 μB/f.u.; energy above the lowest structure with this stoichiometry = 1.58 eV per formula unit; volume = 16.0 Å³/atom
1.0
6.9089 0.0000 0.0000
0.0000 6.9089 0.0000
0.0000 0.0000 5.3575
Zr Ni W
4 8 4
Direct
0.0000 0.0000 0.0000 Zr
0.0000 0.5000 0.2500 Zr
0.5000 0.0000 0.7500 Zr
0.5000 0.5000 0.5000 Zr
0.2242 0.7500 0.6250 Ni
0.2500 0.2242 0.3750 Ni
0.2500 0.2758 0.8750 Ni
0.2758 0.7500 0.1250 Ni
0.7242 0.2500 0.1250 Ni
0.7500 0.7242 0.8750 Ni
0.7500 0.7758 0.3750 Ni
0.7758 0.2500 0.6250 Ni
0.0000 0.0000 0.5000 W
0.0000 0.5000 0.7500 W
0.5000 0.0000 0.2500 W
0.5000 0.5000 0.0000 W